NiSbI2F (PBE with a Hubbard U, optimized geometry); offset from the most stable computed form = 82 kJ/mol of formula units; size of the total moment = 0.0 μB per cell; DOS(E_F) = 6.9 states/eV/f.u.; space-group type = P4/mmm, No. 123
1.0
5.893 0.000 0.000
0.000 5.893 0.000
0.000 0.000 4.193
Ni Sb I F
1 1 2 1
direct
0.000 0.000 0.000
0.500 0.500 0.000
0.000 0.500 0.500
0.500 0.000 0.500
0.500 0.500 0.500